No. 1
This record from Alexandria via LeMat-Bulk describes VIn3Ag after structural relaxation. The functional is GGA-PBE.

Magnetization: 0.00 μB/cell
Raw total energy: -0.2487 Ry per atom
ρ: 6.01 g cm⁻³
DFT formation energy: 15.1 kcal/mol of atoms
E above lowest polymorph: 0.00 eV/f.u.

a = 5.1799 Å, b = 5.1799 Å, c = 5.1799 Å
α = 90.00°, β = 90.00°, γ = 90.00°
Sites, in units of the cell vectors:
V 0.0000 0.0000 0.0000
In 0.0000 0.0000 0.5000
In 0.0000 0.5000 0.0000
In 0.5000 0.0000 0.0000
Ag 0.5000 0.5000 0.5000


No. 2
This record from Alexandria via LeMat-Bulk describes VInAg3 after structural relaxation. The functional is GGA-PBE.

Magnetization: 3.76 μB/cell
Raw total energy: -0.2240 Ry per atom
ρ: 6.09 g cm⁻³
DFT formation energy: 23.9 kcal/mol of atoms
E above lowest polymorph: 0.21 eV/f.u.

a = 5.1106 Å, b = 5.1106 Å, c = 5.1106 Å
α = 90.00°, β = 90.00°, γ = 90.00°
Sites, in units of the cell vectors:
V 0.0000 0.0000 0.0000
In 0.5000 0.5000 0.5000
Ag 0.0000 0.5000 0.5000
Ag 0.5000 0.0000 0.5000
Ag 0.5000 0.5000 0.0000


No. 3
This record from Alexandria via LeMat-Bulk describes VIn3Ag after structural relaxation. The functional is GGA-PBE.

Magnetization: 3.92 μB/cell
Raw total energy: -0.2368 Ry per atom
ρ: 5.75 g cm⁻³
DFT formation energy: 18.8 kcal/mol of atoms
E above lowest polymorph: 0.81 eV/f.u.

a = 5.2584 Å, b = 5.2584 Å, c = 5.2584 Å
α = 90.00°, β = 90.00°, γ = 90.00°
Sites, in units of the cell vectors:
V 0.0000 0.0000 0.0000
In 0.0000 0.5000 0.5000
In 0.5000 0.0000 0.5000
In 0.5000 0.5000 0.0000
Ag 0.5000 0.5000 0.5000


No. 4
This record from Alexandria via LeMat-Bulk describes VInAg3 after structural relaxation. The functional is GGA-PBE.

Magnetization: 3.49 μB/cell
Raw total energy: -0.2271 Ry per atom
ρ: 6.21 g cm⁻³
DFT formation energy: 22.9 kcal/mol of atoms
E above lowest polymorph: 0.00 eV/f.u.

a = 5.0770 Å, b = 5.0770 Å, c = 5.0770 Å
α = 90.00°, β = 90.00°, γ = 90.00°
Sites, in units of the cell vectors:
V 0.0000 0.0000 0.0000
In 0.5000 0.5000 0.5000
Ag 0.0000 0.0000 0.5000
Ag 0.0000 0.5000 0.0000
Ag 0.5000 0.0000 0.0000


No. 5
This record from Alexandria via LeMat-Bulk describes V2In2Ag after structural relaxation. The functional is GGA-PBE.

Magnetization: 0.00 μB/cell
Raw total energy: -0.3686 Ry per atom
ρ: 7.67 g cm⁻³
DFT formation energy: 6.9 kcal/mol of atoms

a = 7.3002 Å, b = 7.3002 Å, c = 3.5686 Å
α = 90.00°, β = 90.00°, γ = 90.00°
Sites, in units of the cell vectors:
V 0.0951 0.4049 0.0000
V 0.4049 0.9049 0.0000
V 0.5951 0.0951 0.0000
V 0.9049 0.5951 0.0000
In 0.1978 0.6978 0.5000
In 0.3022 0.1978 0.5000
In 0.6978 0.8022 0.5000
In 0.8022 0.3022 0.5000
Ag 0.0000 0.0000 0.0000
Ag 0.5000 0.5000 0.0000


No. 6
This record from Alexandria via LeMat-Bulk describes VZn2InAg after structural relaxation. The functional is GGA-PBE.

Magnetization: 0.03 μB/cell
Raw total energy: -0.1785 Ry per atom
ρ: 5.81 g cm⁻³
DFT formation energy: 23.6 kcal/mol of atoms

a = 4.7511 Å, b = 4.7511 Å, c = 5.1229 Å
α = 90.00°, β = 90.00°, γ = 90.00°
Sites, in units of the cell vectors:
V 0.0000 0.0000 0.0000
Zn 0.0000 0.5000 0.5000
Zn 0.5000 0.0000 0.5000
In 0.5000 0.5000 0.0000
Ag 0.5000 0.5000 0.5000


No. 7
This record from Alexandria via LeMat-Bulk describes InAg2W after structural relaxation. The functional is GGA-PBE.

Magnetization: 0.00 μB/cell
Raw total energy: -0.3555 Ry per atom
ρ: 11.72 g cm⁻³
DFT formation energy: 11.8 kcal/mol of atoms

a = 5.6006 Å, b = 5.6006 Å, c = 5.3657 Å
α = 115.78°, β = 115.78°, γ = 28.99°
Sites, in units of the cell vectors:
In 0.0000 0.0000 0.0000
Ag 0.2444 0.2444 0.5646
Ag 0.4902 0.4902 0.4898
W 0.7467 0.7467 0.0555


No. 8
This record from Alexandria via LeMat-Bulk describes InAg2W after structural relaxation. The functional is GGA-PBE.

Magnetization: 0.00 μB/cell
Raw total energy: -0.3588 Ry per atom
ρ: 11.59 g cm⁻³
DFT formation energy: 10.8 kcal/mol of atoms

a = 2.8219 Å, b = 2.8219 Å, c = 9.3113 Å
α = 90.00°, β = 90.00°, γ = 96.40°
Sites, in units of the cell vectors:
In 0.0000 0.0000 0.0000
Ag 0.5000 0.5000 0.2637
Ag 0.5000 0.5000 0.7363
W 0.0000 0.0000 0.5000